A plane-wave DFT calculation with PBE was carried out for crystalline Ac7La12Y at its relaxed geometry.

Cell and atoms, written as POSCAR:
```
Ac7La12Y
1.0
6.5763 0.0000 -1.3535
-3.3783 10.1918 -5.3123
0.1802 0.0000 11.9780
Ac La Y
7 12 1
direct
0.1204 0.7420 0.9997 Ac
0.8794 0.9997 0.2577 Ac
0.6217 0.7423 0.7420 Ac
0.5000 0.0000 0.0000 Ac
0.3783 0.2577 0.2580 Ac
0.1206 0.0003 0.7423 Ac
0.8796 0.2580 0.0003 Ac
0.0965 0.5958 0.1911 La
0.0946 0.1911 0.5953 La
0.5779 0.6378 0.0000 La
0.4221 0.0000 0.3622 La
0.4993 0.4047 0.5958 La
0.0598 0.6378 0.6378 La
0.9402 0.3622 0.3622 La
0.5007 0.5953 0.4042 La
0.5779 0.0000 0.6378 La
0.4221 0.3622 0.0000 La
0.9054 0.8089 0.4047 La
0.9035 0.4042 0.8089 La
0.0000 0.0000 0.0000 Y
```

Calculated values
Its space group is R-3.

=====

A plane-wave DFT calculation with PBE was carried out for crystalline AcLa12Y6 at its relaxed geometry.

Cell and atoms, written as POSCAR:
```
AcLa12Y6
1.0
-3.9132 -6.4363 5.1959
8.7103 -0.8384 2.6765
-2.4022 7.5083 4.6466
Ac La Y
1 12 6
direct
0.0000 0.0000 0.0000 Ac
0.8906 0.1094 0.5000 La
0.4553 0.1769 0.4553 La
0.4553 0.4553 0.1769 La
0.8231 0.5447 0.5447 La
0.5447 0.5447 0.8231 La
0.5447 0.8231 0.5447 La
0.5000 0.8906 0.1094 La
0.1094 0.5000 0.8906 La
0.1094 0.8906 0.5000 La
0.5000 0.1094 0.8906 La
0.8906 0.5000 0.1094 La
0.1769 0.4553 0.4553 La
0.7865 0.2535 0.7865 Y
0.7865 0.7865 0.2535 Y
0.2535 0.7865 0.7865 Y
0.2135 0.2135 0.7465 Y
0.2135 0.7465 0.2135 Y
0.7465 0.2135 0.2135 Y
```

Calculated values
Its space group is R-3m.

=====

A plane-wave DFT calculation with PBE was carried out for crystalline Ac5La4Y at its relaxed geometry.

Cell and atoms, written as POSCAR:
```
Ac5La4Y
1.0
3.8839 0.0000 0.0000
0.0000 3.8839 0.0000
0.0000 0.0000 26.7239
Ac La Y
5 4 1
direct
0.5000 0.5000 0.0954 Ac
0.5000 0.5000 0.2972 Ac
0.5000 0.5000 0.5000 Ac
0.5000 0.5000 0.7028 Ac
0.5000 0.5000 0.9046 Ac
0.0000 0.0000 0.1955 La
0.0000 0.0000 0.3984 La
0.0000 0.0000 0.6016 La
0.0000 0.0000 0.8045 La
0.0000 0.0000 0.0000 Y
```

Calculated values
The energy above the lowest structure with this stoichiometry comes out at 0.0 meV/atom. Its space group is P4/mmm.

=====

A plane-wave DFT calculation with PBE was carried out for crystalline AcLa5Y at its relaxed geometry.

Cell and atoms, written as POSCAR:
```
AcLa5Y
1.0
-2.9119 -5.4022 3.0494
0.7856 -2.7809 -6.2138
11.4871 0.8807 4.8344
Ac La Y
2 10 2
direct
0.0000 0.0000 0.0000 Ac
0.0000 0.0000 0.5000 Ac
0.3848 0.0275 0.8306 La
0.4675 0.7575 0.5348 La
0.0275 0.3848 0.3306 La
0.8362 0.1638 0.7500 La
0.2425 0.5325 0.9652 La
0.7575 0.4675 0.0348 La
0.1638 0.8362 0.2500 La
0.9725 0.6152 0.6694 La
0.5325 0.2425 0.4652 La
0.6152 0.9725 0.1694 La
0.4950 0.5050 0.7500 Y
0.5050 0.4950 0.2500 Y
```

Calculated values
Its space group is C2/c.

=====

A plane-wave DFT calculation with PBE was carried out for crystalline AcLa3Y6 at its relaxed geometry.

Cell and atoms, written as POSCAR:
```
AcLa3Y6
1.0
-6.2941 0.2018 -7.8630
-3.9013 -8.5823 -3.5505
-6.5064 -2.4139 -1.3069
Ac La Y
1 3 6
direct
0.8970 0.8970 0.3089 Ac
0.3993 0.3993 0.8021 La
0.6324 0.6324 0.1027 La
0.1676 0.1676 0.4971 La
0.9009 0.5678 0.2947 Y
0.2366 0.9009 0.2947 Y
0.5678 0.2366 0.2947 Y
0.0728 0.3981 0.8017 Y
0.7275 0.0728 0.8017 Y
0.3981 0.7275 0.8017 Y
```

Calculated values
The energy above the lowest structure with this stoichiometry comes out at 173.5 meV/atom. Its space group is R3.

=====

A plane-wave DFT calculation with PBE was carried out for crystalline Ac6LaY3 at its relaxed geometry.

Cell and atoms, written as POSCAR:
```
Ac6LaY3
1.0
-3.3936 1.5755 0.7328
-8.3289 -14.7458 -6.8688
2.0750 -1.2285 12.2508
Ac La Y
12 2 6
direct
0.7500 0.0949 0.4571 Ac
0.2500 0.9051 0.5429 Ac
0.7500 0.1724 0.0518 Ac
0.2500 0.8276 0.9482 Ac
0.7500 0.7554 0.6524 Ac
0.2500 0.2446 0.3476 Ac
0.7500 0.3987 0.2475 Ac
0.2500 0.6013 0.7525 Ac
0.7500 0.4535 0.8537 Ac
0.2500 0.5465 0.1463 Ac
0.7500 0.8842 0.2425 Ac
0.2500 0.1158 0.7575 Ac
0.7500 0.6792 0.0345 La
0.2500 0.3208 0.9655 La
0.7500 0.4238 0.5496 Y
0.2500 0.5762 0.4504 Y
0.7500 0.7119 0.3482 Y
0.2500 0.2881 0.6518 Y
0.7500 0.9691 0.8533 Y
0.2500 0.0309 0.1467 Y
```

Calculated values
Its space group is P2_1/m.

=====

A plane-wave DFT calculation with PBE was carried out for crystalline AcLa4Y5 at its relaxed geometry.

Cell and atoms, written as POSCAR:
```
AcLa4Y5
1.0
3.7499 0.0000 0.0000
0.0000 3.7499 0.0000
0.0000 0.0000 25.1725
Ac La Y
1 4 5
direct
0.0000 0.0000 0.0000 Ac
0.0000 0.0000 0.2034 La
0.0000 0.0000 0.4012 La
0.0000 0.0000 0.5988 La
0.0000 0.0000 0.7966 La
0.5000 0.5000 0.1048 Y
0.5000 0.5000 0.3025 Y
0.5000 0.5000 0.5000 Y
0.5000 0.5000 0.6975 Y
0.5000 0.5000 0.8952 Y
```

Calculated values
The energy above the lowest structure with this stoichiometry comes out at 0.0 meV/atom. Its space group is P4/mmm.

=====

A plane-wave DFT calculation with PBE was carried out for crystalline AcLa4Y at its relaxed geometry.

Cell and atoms, written as POSCAR:
```
AcLa4Y
1.0
-1.7043 2.4405 5.7483
1.1154 -6.7104 3.1797
10.5000 -0.2214 -4.1506
Ac La Y
2 8 2
direct
0.0013 0.7500 0.6683 Ac
0.9987 0.2500 0.3317 Ac
0.5029 0.0024 0.6708 La
0.4971 0.5024 0.3292 La
0.4971 0.9976 0.3292 La
0.5029 0.4976 0.6708 La
0.0009 0.2500 0.6701 La
0.9991 0.7500 0.3299 La
0.0008 0.2500 0.9986 La
0.9992 0.7500 0.0014 La
0.5000 0.5000 0.0000 Y
0.5000 0.0000 0.0000 Y
```

Calculated values
The energy above the lowest structure with this stoichiometry comes out at 0.0 meV/atom. Its space group is P2_1/m.

=====

A plane-wave DFT calculation with PBE was carried out for crystalline AcLa10Y4 at its relaxed geometry.

Cell and atoms, written as POSCAR:
```
AcLa10Y4
1.0
-6.3165 -1.8879 -2.5302
-6.1316 -2.3082 7.1756
-5.9037 7.6716 -0.8398
Ac La Y
1 10 4
direct
0.0000 0.0000 0.0000 Ac
0.2500 0.5000 0.5000 La
0.6322 0.4163 0.8377 La
0.9515 0.1623 0.4163 La
0.5301 0.8377 0.5837 La
0.8862 0.5837 0.1623 La
0.3678 0.5837 0.1623 La
0.7500 0.5000 0.5000 La
0.1138 0.4163 0.8377 La
0.4699 0.1623 0.4163 La
0.0485 0.8377 0.5837 La
0.4324 0.8917 0.2434 Y
0.6759 0.7566 0.8917 Y
0.3241 0.2434 0.1083 Y
0.5676 0.1083 0.7566 Y
```

Calculated values
Its space group is I4/m.

=====

A plane-wave DFT calculation with PBE was carried out for crystalline Ac3La4Y2 at its relaxed geometry.

Cell and atoms, written as POSCAR:
```
Ac3La4Y2
1.0
-1.2534 4.3065 -4.8849
-8.2499 -4.8833 -2.1212
-9.1473 6.4527 3.6635
Ac La Y
6 8 4
direct
0.0657 0.9660 0.7164 Ac
0.3959 0.3025 0.0527 Ac
0.9343 0.0340 0.2836 Ac
0.6041 0.6975 0.9473 Ac
0.2739 0.3647 0.6167 Ac
0.7261 0.6353 0.3833 Ac
0.5093 0.0936 0.8303 La
0.9276 0.1878 0.9493 La
0.4907 0.9064 0.1697 La
0.0724 0.8122 0.0507 La
0.1745 0.7590 0.4989 La
0.2643 0.5188 0.2841 La
0.8255 0.2410 0.5011 La
0.7357 0.4812 0.7159 La
0.6010 0.8557 0.6137 Y
0.8381 0.4228 0.1634 Y
0.3990 0.1443 0.3863 Y
0.1619 0.5772 0.8366 Y
```

Calculated values
Its space group is P-1.

=====

A plane-wave DFT calculation with PBE was carried out for crystalline AcLa8Y2 at its relaxed geometry.

Cell and atoms, written as POSCAR:
```
AcLa8Y2
1.0
-2.6439 3.5572 4.3024
-5.8487 -2.9395 6.8345
3.8232 -2.7649 8.6345
Ac La Y
1 8 2
direct
0.5000 0.0000 0.0000 Ac
0.8054 0.0964 0.2452 La
0.8054 0.3417 0.7548 La
0.2990 0.4311 0.0000 La
0.5000 0.7914 0.4171 La
0.5000 0.2086 0.5829 La
0.7010 0.5689 0.0000 La
0.1946 0.6583 0.2452 La
0.1946 0.9036 0.7548 La
0.0000 0.3132 0.3736 Y
0.0000 0.6868 0.6264 Y
```

Calculated values
The energy above the lowest structure with this stoichiometry comes out at 10.6 meV/atom. Its space group is C2/m.

=====

A plane-wave DFT calculation with PBE was carried out for crystalline Ac11La4Y9 at its relaxed geometry.

Cell and atoms, written as POSCAR:
```
Ac11La4Y9
1.0
3.9119 0.0000 0.0000
0.0000 14.8213 -6.3407
0.0000 -0.0061 16.1206
Ac La Y
11 4 9
direct
0.0000 0.5943 0.9552 Ac
0.0000 0.4057 0.0448 Ac
0.0000 0.9552 0.5943 Ac
0.0000 0.0448 0.4057 Ac
0.0000 0.6334 0.3666 Ac
0.0000 0.3666 0.6334 Ac
0.0000 0.8410 0.1590 Ac
0.0000 0.1590 0.8410 Ac
0.0000 0.0000 0.0000 Ac
0.0000 0.7115 0.7115 Ac
0.0000 0.2885 0.2885 Ac
0.5000 0.5553 0.7559 La
0.5000 0.4447 0.2441 La
0.5000 0.7559 0.5553 La
0.5000 0.2441 0.4447 La
0.5000 0.6340 0.1659 Y
0.5000 0.3660 0.8341 Y
0.5000 0.1659 0.6340 Y
0.5000 0.8341 0.3660 Y
0.5000 0.7880 0.9335 Y
0.5000 0.2120 0.0665 Y
0.5000 0.9335 0.7880 Y
0.5000 0.0665 0.2120 Y
0.5000 0.5000 0.5000 Y
```

Calculated values
Its space group is Cmmm.

=====

no.,energy relative to the elements (meV/atom),spin magnetization (μB/f.u.)
1,245,0.00
2,341,0.00
3,28,0.00
4,77,0.00
5,303,0.01
6,88,0.00
7,30,0.00
8,21,0.00
9,426,0.00
10,42,0.00
11,116,0.00
12,91,0.00